Entry 1:
An optimized crystal structure of Rb4H4C3O10. Source: the Alexandria database, functional PBE.

Lattice parameters (Å, degrees): 12.496 15.655 6.357 90.00 90.00 90.00
Atoms (fractional coordinates):
Rb 0.125 0.123 0.186
Rb 0.125 0.377 0.186
Rb 0.147 0.627 0.179
Rb 0.147 0.873 0.179
Rb 0.353 0.127 0.679
Rb 0.353 0.373 0.679
Rb 0.375 0.623 0.686
Rb 0.375 0.877 0.686
Rb 0.625 0.123 0.314
Rb 0.625 0.377 0.314
Rb 0.647 0.627 0.321
Rb 0.647 0.873 0.321
Rb 0.853 0.127 0.821
Rb 0.853 0.373 0.821
Rb 0.875 0.623 0.814
Rb 0.875 0.877 0.814
H 0.093 0.097 0.697
H 0.093 0.403 0.697
H 0.152 0.699 0.630
H 0.152 0.801 0.630
H 0.348 0.199 0.130
H 0.348 0.301 0.130
H 0.407 0.597 0.197
H 0.407 0.903 0.197
H 0.593 0.097 0.803
H 0.593 0.403 0.803
H 0.652 0.699 0.870
H 0.652 0.801 0.870
H 0.848 0.199 0.370
H 0.848 0.301 0.370
H 0.907 0.597 0.303
H 0.907 0.903 0.303
C 0.096 0.250 0.708
C 0.125 0.528 0.666
C 0.125 0.972 0.666
C 0.375 0.028 0.166
C 0.375 0.472 0.166
C 0.404 0.750 0.208
C 0.596 0.250 0.792
C 0.625 0.528 0.834
C 0.625 0.972 0.834
C 0.875 0.028 0.334
C 0.875 0.472 0.334
C 0.904 0.750 0.292
O 0.033 0.250 0.868
O 0.067 0.036 0.754
O 0.067 0.464 0.754
O 0.103 0.604 0.733
O 0.103 0.896 0.733
O 0.131 0.179 0.623
O 0.131 0.321 0.623
O 0.187 0.750 0.568
O 0.195 0.511 0.528
O 0.195 0.989 0.528
O 0.305 0.011 0.028
O 0.305 0.489 0.028
O 0.313 0.250 0.068
O 0.369 0.679 0.123
O 0.369 0.821 0.123
O 0.397 0.104 0.233
O 0.397 0.396 0.233
O 0.433 0.536 0.254
O 0.433 0.964 0.254
O 0.467 0.750 0.368
O 0.533 0.250 0.632
O 0.567 0.036 0.746
O 0.567 0.464 0.746
O 0.603 0.604 0.767
O 0.603 0.896 0.767
O 0.631 0.179 0.877
O 0.631 0.321 0.877
O 0.687 0.750 0.932
O 0.695 0.511 0.972
O 0.695 0.989 0.972
O 0.805 0.011 0.472
O 0.805 0.489 0.472
O 0.813 0.250 0.432
O 0.869 0.679 0.377
O 0.869 0.821 0.377
O 0.897 0.104 0.267
O 0.897 0.396 0.267
O 0.933 0.536 0.246
O 0.933 0.964 0.246
O 0.967 0.750 0.132


Entry 2:
An optimized crystal structure of Pm4Tm9In11. Source: the Alexandria database, functional PBE.

Lattice parameters (Å, degrees): 14.173 14.173 3.434 90.00 90.00 111.14
Atoms (fractional coordinates):
Pm 0.095 0.257 0.000
Pm 0.257 0.095 0.000
Pm 0.743 0.905 0.000
Pm 0.905 0.743 0.000
Tm 0.000 0.000 0.000
Tm 0.111 0.668 0.000
Tm 0.297 0.493 0.000
Tm 0.332 0.889 0.000
Tm 0.493 0.297 0.000
Tm 0.507 0.703 0.000
Tm 0.668 0.111 0.000
Tm 0.703 0.507 0.000
Tm 0.889 0.332 0.000
In 0.091 0.462 0.500
In 0.122 0.878 0.500
In 0.305 0.305 0.500
In 0.310 0.690 0.500
In 0.462 0.091 0.500
In 0.500 0.500 0.500
In 0.538 0.909 0.500
In 0.690 0.310 0.500
In 0.695 0.695 0.500
In 0.878 0.122 0.500
In 0.909 0.538 0.500

Properties
- ΔH_f (0 K): -376 meV per atom


Entry 3:
An optimized crystal structure of Sr2TmMg3Sn4. Source: the Alexandria database, functional PBE.

Lattice parameters (Å, degrees): 4.898 4.898 12.290 90.00 90.00 90.00
Atoms (fractional coordinates):
Sr 0.000 0.500 0.234
Sr 0.500 0.000 0.766
Tm 0.000 0.000 0.500
Mg 0.000 0.500 0.869
Mg 0.500 0.000 0.131
Mg 0.500 0.500 0.500
Sn 0.000 0.000 0.000
Sn 0.000 0.500 0.643
Sn 0.500 0.000 0.357
Sn 0.500 0.500 0.000

Properties
- ΔH_f (0 K): -458 meV per atom


Energy, record by record: -506.96, -98.40, -33.21 eV/cell
Total moment, record by record: 0.00, 0.00, 0.00 Bohr magnetons per cell